DFT (PBE) results for a geometry-optimized Nd2HoTl3Te6 structure.

Values from the calculation:
As for the crystal system: monoclinic.

Lattice parameters (Å, degrees): 7.842 7.842 8.587 98.76 98.76 119.99
Positions (direct):
Nd 0.166 0.834 0.000
Nd 0.834 0.166 0.000
Ho 0.500 0.500 0.000
Tl 0.000 0.000 0.500
Tl 0.331 0.669 0.500
Tl 0.669 0.331 0.500
Te 0.103 0.428 0.783
Te 0.249 0.249 0.219
Te 0.428 0.103 0.783
Te 0.572 0.897 0.217
Te 0.751 0.751 0.781
Te 0.897 0.572 0.217

***

DFT (PBE) results for a geometry-optimized Zn2CrRe structure.

Values from the calculation:
Its excess energy over the best structure of this formula in the dataset is 181 meV/atom. As for the crystal system: orthorhombic.

Lattice parameters (Å, degrees): 2.596 4.155 5.140 90.00 90.00 90.00
Positions (direct):
Zn 0.000 0.000 0.247
Zn 0.000 0.000 0.753
Cr 0.500 0.500 0.000
Re 0.500 0.500 0.500

***

| no. | total energy (eV/cell) |
| --- | --- |
| 1 | -52.830 |
| 2 | -23.453 |